1.
DFT (PBE) results for PrSm5Bi6 after structural relaxation.

Unit cell a=7.921 b=7.920 c=7.921 alpha=60.00 beta=80.39 gamma=70.50
Fractional coordinates of all 12 atoms:
Pr1 0.000 0.000 0.000
Bi1 0.251 0.253 0.000
Sm1 0.000 0.667 0.666
Sm2 0.500 0.500 0.000
Bi2 0.748 0.084 0.336
Sm3 0.000 0.333 0.334
Bi3 0.252 0.580 0.336
Sm4 0.500 0.165 0.669
Sm5 0.500 0.835 0.331
Bi4 0.252 0.916 0.664
Bi5 0.748 0.420 0.664
Bi6 0.749 0.747 0.000

- formation energy (eV/atom) = -0.931
- theoretical density (g/cm3) = 8.79

2.
DFT (PBE) results for Pr3SmBi3 after structural relaxation.

Unit cell a=9.724 b=9.724 c=9.724 alpha=90.00 beta=90.00 gamma=90.00
Fractional coordinates of all 28 atoms:
Pr1 0.178 0.822 0.322
Pr2 0.179 0.179 0.179
Bi1 0.627 0.999 0.753
Bi2 0.501 0.247 0.127
Sm1 0.428 0.428 0.428
Pr3 0.431 0.569 0.069
Pr4 0.822 0.322 0.178
Pr5 0.322 0.178 0.822
Pr6 0.931 0.931 0.931
Bi3 0.247 0.127 0.501
Pr7 0.679 0.321 0.821
Pr8 0.678 0.678 0.678
Bi4 0.753 0.627 0.999
Bi5 0.999 0.753 0.627
Sm2 0.928 0.072 0.572
Bi6 0.127 0.501 0.247
Pr9 0.069 0.431 0.569
Pr10 0.321 0.821 0.679
Pr11 0.569 0.069 0.431
Sm3 0.572 0.928 0.072
Bi7 0.499 0.747 0.373
Bi8 0.873 0.001 0.253
Pr12 0.821 0.679 0.321
Sm4 0.072 0.572 0.928
Bi9 0.373 0.499 0.747
Bi10 0.747 0.373 0.499
Bi11 0.253 0.873 0.001
Bi12 0.001 0.253 0.873

- formation energy (eV/atom) = -0.834
- polymorph energy (0 for the lowest one) (meV per atom) = 0
- theoretical density (g/cm3) = 8.67

3.
DFT (PBE) results for Pr5Sm2Bi5 after structural relaxation.

Unit cell a=4.578 b=7.888 c=13.260 alpha=109.61 beta=90.00 gamma=106.87
Fractional coordinates of all 12 atoms:
Bi1 0.691 0.382 0.787
Sm1 0.955 0.910 0.213
Pr1 0.500 0.000 0.500
Sm2 0.045 0.090 0.787
Pr2 0.722 0.445 0.342
Bi2 0.119 0.238 0.430
Pr3 0.278 0.555 0.658
Pr4 0.661 0.323 0.037
Bi3 0.000 0.000 0.000
Bi4 0.309 0.618 0.213
Bi5 0.881 0.762 0.570
Pr5 0.339 0.677 0.963

- formation energy (eV/atom) = -0.695
- theoretical density (g/cm3) = 7.93

4.
DFT (PBE) results for PrSm3Bi3 after structural relaxation.

Unit cell a=9.417 b=9.417 c=8.390 alpha=55.86 beta=55.86 gamma=60.00
Fractional coordinates of all 14 atoms:
Pr1 0.666 0.666 0.001
Bi1 0.299 0.533 0.248
Sm1 0.181 0.913 0.253
Sm2 0.653 0.181 0.253
Bi2 0.533 0.920 0.248
Bi3 0.080 0.701 0.752
Bi4 0.920 0.299 0.248
Bi5 0.467 0.080 0.752
Sm3 0.913 0.653 0.253
Sm4 0.819 0.087 0.747
Sm5 0.087 0.347 0.747
Bi6 0.701 0.467 0.752
Pr2 0.334 0.334 0.999
Sm6 0.347 0.819 0.747

- formation energy (eV/atom) = -0.716
- polymorph energy (0 for the lowest one) (meV per atom) = 98
- theoretical density (g/cm3) = 8.25

5.
DFT (PBE) results for Pr2SmBi2 after structural relaxation.

Unit cell a=6.523 b=8.945 c=8.265 alpha=122.76 beta=113.24 gamma=90.00
Fractional coordinates of all 10 atoms:
Sm1 0.250 0.500 0.000
Pr1 0.349 0.992 0.699
Sm2 0.750 0.500 0.000
Bi1 0.390 0.672 0.781
Pr2 0.151 0.293 0.301
Bi2 0.110 0.891 0.219
Pr3 0.849 0.707 0.699
Bi3 0.890 0.109 0.781
Pr4 0.651 0.008 0.301
Bi4 0.610 0.328 0.219

- formation energy (eV/atom) = -0.655
- theoretical density (g/cm3) = 7.89

6.
DFT (PBE) results for Pr2Sm2Bi3 after structural relaxation.

Unit cell a=8.377 b=8.377 c=8.377 alpha=109.47 beta=109.47 gamma=109.47
Fractional coordinates of all 14 atoms:
Bi1 0.880 0.250 0.630
Bi2 0.620 0.750 0.870
Pr1 0.647 0.147 0.147
Sm1 0.500 0.860 0.500
Bi3 0.750 0.630 0.380
Pr2 0.500 0.353 0.500
Sm2 0.360 0.500 0.000
Pr3 0.000 0.000 0.353
Bi4 0.370 0.120 0.750
Pr4 0.853 0.500 0.000
Sm3 0.140 0.640 0.640
Bi5 0.250 0.870 0.120
Sm4 0.000 0.000 0.860
Bi6 0.130 0.380 0.250

- formation energy (eV/atom) = -0.822
- theoretical density (g/cm3) = 8.88

7.
DFT (PBE) results for Pr2SmBi after structural relaxation.

Unit cell a=3.625 b=3.625 c=12.689 alpha=81.79 beta=81.79 gamma=60.00
Fractional coordinates of all 4 atoms:
Pr1 0.087 0.087 0.739
Bi1 0.000 0.000 0.000
Sm1 0.500 0.500 0.500
Pr2 0.913 0.913 0.261

- formation energy (eV/atom) = 0.006
- polymorph energy (0 for the lowest one) (meV per atom) = 438
- theoretical density (g/cm3) = 7.48

8.
DFT (PBE) results for PrSm2Bi after structural relaxation.

Unit cell a=4.135 b=4.135 c=10.049 alpha=78.13 beta=78.13 gamma=60.00
Fractional coordinates of all 4 atoms:
Pr1 0.500 0.500 0.499
Sm1 0.070 0.070 0.791
Sm2 0.264 0.264 0.209
Bi1 0.666 0.666 0.001

- formation energy (eV/atom) = -0.221
- polymorph energy (0 for the lowest one) (meV per atom) = 240
- theoretical density (g/cm3) = 7.47

9.
DFT (PBE) results for PrSm8Bi6 after structural relaxation.

Unit cell a=8.331 b=8.331 c=9.911 alpha=65.15 beta=65.15 gamma=60.00
Fractional coordinates of all 15 atoms:
Sm1 0.548 0.208 0.367
Bi1 0.594 0.933 0.203
Bi2 0.731 0.406 0.797
Pr1 0.000 0.000 0.000
Sm2 0.876 0.548 0.367
Sm3 0.124 0.452 0.633
Sm4 0.667 0.667 0.000
Bi3 0.067 0.731 0.797
Bi4 0.406 0.067 0.797
Sm5 0.208 0.876 0.367
Sm6 0.333 0.333 0.000
Sm7 0.792 0.124 0.633
Sm8 0.452 0.792 0.633
Bi5 0.933 0.269 0.203
Bi6 0.269 0.594 0.203

- formation energy (eV/atom) = -0.585
- theoretical density (g/cm3) = 8.28

10.
DFT (PBE) results for PrSm4Bi2 after structural relaxation.

Unit cell a=5.440 b=5.440 c=9.360 alpha=106.89 beta=106.89 gamma=90.00
Fractional coordinates of all 7 atoms:
Bi1 0.366 0.366 0.732
Bi2 0.634 0.634 0.268
Pr1 0.000 0.000 0.000
Sm1 0.500 0.000 0.000
Sm2 0.181 0.181 0.363
Sm3 0.000 0.500 0.000
Sm4 0.819 0.819 0.637

- formation energy (eV/atom) = 0.220
- theoretical density (g/cm3) = 7.63

11.
DFT (PBE) results for PrSm3Bi3 after structural relaxation.

Unit cell a=9.629 b=9.629 c=9.629 alpha=90.00 beta=90.00 gamma=90.00
Fractional coordinates of all 28 atoms:
Sm1 0.179 0.179 0.179
Sm2 0.821 0.679 0.321
Bi1 0.499 0.254 0.123
Bi2 0.246 0.877 0.999
Pr1 0.429 0.429 0.429
Bi3 0.623 0.001 0.746
Bi4 0.377 0.501 0.754
Bi5 0.746 0.623 0.001
Sm3 0.426 0.574 0.074
Sm4 0.074 0.426 0.574
Sm5 0.180 0.820 0.320
Bi6 0.877 0.999 0.246
Bi7 0.501 0.754 0.377
Sm6 0.820 0.320 0.180
Bi8 0.254 0.123 0.499
Bi9 0.999 0.246 0.877
Sm7 0.574 0.074 0.426
Bi10 0.001 0.746 0.623
Bi11 0.123 0.499 0.254
Pr2 0.571 0.929 0.071
Bi12 0.754 0.377 0.501
Pr3 0.071 0.571 0.929
Pr4 0.929 0.071 0.571
Sm8 0.321 0.821 0.679
Sm9 0.679 0.321 0.821
Sm10 0.320 0.180 0.820
Sm11 0.926 0.926 0.926
Sm12 0.680 0.680 0.680

- formation energy (eV/atom) = -0.814
- polymorph energy (0 for the lowest one) (meV per atom) = 0
- theoretical density (g/cm3) = 9.07

12.
DFT (PBE) results for PrSm3Bi4 after structural relaxation.

Unit cell a=4.582 b=7.931 c=7.931 alpha=109.47 beta=90.00 gamma=90.00
Fractional coordinates of all 8 atoms:
Bi1 0.500 0.748 0.252
Sm1 0.000 0.000 0.500
Bi2 0.500 0.252 0.748
Sm2 0.500 0.500 0.500
Pr1 0.500 0.000 0.000
Bi3 0.000 0.254 0.254
Sm3 0.000 0.500 0.000
Bi4 0.000 0.746 0.746

- formation energy (eV/atom) = -0.933
- polymorph energy (0 for the lowest one) (meV per atom) = 5
- theoretical density (g/cm3) = 8.73